(one)
Below is a geometry-optimized ZnFeSe2N structure, with properties calculated at the PBE level.

a b c (Å): 5.092 5.092 3.671
angles (deg): 90.00 90.00 90.00
Space group P4/mmm (No. 123)
Unique sites:
Zn 0.000 0.000 0.000 x1
Fe 0.500 0.500 0.500 x1
Se 0.000 0.500 0.000 x2
N 0.000 0.000 0.500 x1

## Properties
Spin magnetization ... 5.634 μB per cell
D(E_F) ... 1.39 states/eV/atom

---

(two)
Below is a geometry-optimized ZnFeSe2N structure, with properties calculated at the PBE level.

a b c (Å): 4.961 4.961 3.381
angles (deg): 90.00 90.00 90.00
Space group P4/mmm (No. 123)
Unique sites:
Zn 0.000 0.000 0.000 x1
Fe 0.500 0.500 0.500 x1
Se 0.000 0.500 0.500 x2
N 0.500 0.500 0.000 x1

## Properties
Spin magnetization ... 0.439 μB per cell
D(E_F) ... 1.04 states/eV/atom

---

Of the structures shown above, (one) is the least stable.